VASP calculation (PBE-GGA) on a geometry-optimized NdScAg2 structure.

The calculation puts the magnetic moment at 0.0 μB per formula unit. The value obtained for the formation enthalpy at 0 K is -207 meV/atom. As for the calculated density: 7.2 g/cm³. The offset from the most stable computed form comes out at 50 meV per atom.

Lattice parameters (Å, degrees): 3.569 5.130 5.130 90.00 90.00 90.00
Fractional positions:
Sc 0.500 0.500 0.500
Nd 0.500 0.000 0.000
Ag 0.000 0.000 0.500
Ag 0.000 0.500 0.000